[1]
## Er5ThIn4 (PBE-GGA)

Data for crystalline Er5ThIn4 at its relaxed geometry.

## Properties
The uncorrected energy is -4.49 eV/atom. The value obtained for the mass density is 9.45 g/cm³.

abc: 3.4995 3.4995 21.9211
angles: 90.00 90.00 90.00
Element x y z (fractional)
Er 0.0000 0.0000 0.0000
Er 0.0000 0.0000 0.1938
Er 0.0000 0.0000 0.3881
Er 0.0000 0.0000 0.6119
Er 0.0000 0.0000 0.8062
Th 0.5000 0.5000 0.5000
In 0.5000 0.5000 0.0971
In 0.5000 0.5000 0.2912
In 0.5000 0.5000 0.7088
In 0.5000 0.5000 0.9029

=====

[2]
## Er9ThIn2 (PBE-GGA)

Data for crystalline Er9ThIn2 at its relaxed geometry.

## Properties
The uncorrected energy is -4.65 eV/atom. The value obtained for the mass density is 9.43 g/cm³.

abc: 4.8475 4.8475 14.7450
angles: 90.00 90.00 90.00
Element x y z (fractional)
Er 0.0000 0.0000 0.0000
Er 0.0000 0.0000 0.3382
Er 0.0000 0.0000 0.6618
Er 0.0000 0.5000 0.1717
Er 0.0000 0.5000 0.5000
Er 0.0000 0.5000 0.8283
Er 0.5000 0.0000 0.1717
Er 0.5000 0.0000 0.5000
Er 0.5000 0.0000 0.8283
Th 0.5000 0.5000 0.0000
In 0.5000 0.5000 0.3386
In 0.5000 0.5000 0.6614

=====

[3]
## ErTh3In4 (PBE-GGA)

Data for crystalline ErTh3In4 at its relaxed geometry.

## Properties
The energy above the most stable polymorph in this dataset is 0.026 eV per atom. The uncorrected energy is -4.96 eV/atom. The value obtained for the mass density is 9.73 g/cm³.

abc: 9.7139 6.8384 6.7988
angles: 90.00 90.00 90.00
Element x y z (fractional)
Er 0.0000 0.9999 0.0000
Er 0.5000 0.0001 0.5000
Th 0.0000 0.4998 0.9988
Th 0.2497 0.2628 0.2499
Th 0.2503 0.7372 0.7499
Th 0.5000 0.5002 0.4988
Th 0.7503 0.2628 0.2499
Th 0.7497 0.7372 0.7499
In 0.0000 0.0004 0.5003
In 0.0000 0.5014 0.4988
In 0.2503 0.2380 0.7498
In 0.2497 0.7620 0.2498
In 0.5000 0.9996 0.0003
In 0.5000 0.4986 0.9988
In 0.7497 0.2380 0.7498
In 0.7503 0.7620 0.2498

=====

[4]
## Er3Th2In2 (PBE-GGA)

Data for crystalline Er3Th2In2 at its relaxed geometry.

## Properties
The uncorrected energy is -4.95 eV/atom. The value obtained for the mass density is 9.86 g/cm³.

abc: 12.5542 12.5542 3.4466
angles: 90.00 90.00 158.25
Element x y z (fractional)
Er 0.0000 0.0000 0.0000
Er 0.1354 0.8646 0.0000
Er 0.8646 0.1354 0.0000
Th 0.2881 0.7119 0.5000
Th 0.7119 0.2881 0.5000
In 0.4305 0.5695 0.5000
In 0.5695 0.4305 0.5000

=====

Results for total magnetic moment: 0.1; 0.0; 0.0; 0.0 (in μB/cell, following the order of the records).